*i*
An optimized crystal structure of Y3TePt, computed with GGA-PBE.

Calculated values
Its density of states at the Fermi level is 7.1 states/eV/cell. As for the space group: No. 11.

a b c (Å): 4.082 7.207 9.543
angles (deg): 94.23 90.00 90.00
Atoms (fractional coordinates):
Y 0.250 0.986 0.339
Y 0.250 0.477 0.337
Y 0.250 0.313 0.916
Y 0.750 0.014 0.661
Y 0.750 0.687 0.084
Y 0.750 0.523 0.663
Te 0.750 0.213 0.148
Te 0.250 0.787 0.852
Pt 0.750 0.741 0.410
Pt 0.250 0.259 0.590

=====

*ii*
An optimized crystal structure of Y3TePt, computed with GGA-PBE.

Calculated values
Its density of states at the Fermi level is 4.1 states/eV/cell. As for the space group: No. 221.

a b c (Å): 5.440 5.440 5.440
angles (deg): 90.00 90.00 90.00
Atoms (fractional coordinates):
Y 0.000 0.500 0.000
Y 0.000 0.000 0.500
Y 0.500 0.000 0.000
Te 0.500 0.500 0.500
Pt 0.000 0.000 0.000

=====

The winner here is *i*, beating the second structure by 0.345 eV/atom.

=====

*i*
An optimized crystal structure of ZnTePt2, computed with GGA-PBE.

Calculated values
Its density of states at the Fermi level is 1.7 states/eV/cell. As for the space group: No. 38.

a b c (Å): 6.168 6.168 3.617
angles (deg): 90.02 90.02 34.37
Atoms (fractional coordinates):
Pt 0.941 0.941 0.125
Pt 0.757 0.757 0.625
Te 0.536 0.536 0.625
Zn 0.266 0.266 0.125

=====

*ii*
An optimized crystal structure of ZnTePt2, computed with GGA-PBE.

Calculated values
Its density of states at the Fermi level is 3.6 states/eV/cell. As for the space group: No. 216.

a b c (Å): 4.658 4.658 4.658
angles (deg): 60.00 60.00 60.00
Atoms (fractional coordinates):
Pt 0.000 0.000 0.000
Pt 0.250 0.250 0.250
Te 0.500 0.500 0.500
Zn 0.750 0.750 0.750

=====

The winner here is *i*, beating the second structure by 0.328 eV/atom.

=====

*i*
An optimized crystal structure of ZnTePt2, computed with GGA-PBE.

Calculated values
Its density of states at the Fermi level is 1.5 states/eV/cell. As for the space group: No. 44.

a b c (Å): 6.598 6.598 6.598
angles (deg): 152.52 144.73 45.28
Atoms (fractional coordinates):
Pt 0.930 0.930 0.000
Pt 0.733 0.233 0.500
Te 0.546 0.546 0.000
Zn 0.291 0.791 0.500

=====

*ii*
An optimized crystal structure of ZnTePt2, computed with GGA-PBE.

Calculated values
Its density of states at the Fermi level is 2.8 states/eV/cell. As for the space group: No. 119.

a b c (Å): 5.244 5.244 5.244
angles (deg): 135.43 135.43 64.86
Atoms (fractional coordinates):
Pt 0.000 0.000 0.000
Pt 0.250 0.750 0.500
Te 0.500 0.500 0.000
Zn 0.750 0.250 0.500

=====

The winner here is *i*, beating the second structure by 0.107 eV/atom.

=====

*i*
An optimized crystal structure of ZnTePt2, computed with GGA-PBE.

Calculated values
Its density of states at the Fermi level is 1.5 states/eV/cell. As for the space group: No. 65.

a b c (Å): 4.443 4.443 3.570
angles (deg): 90.00 90.00 90.10
Atoms (fractional coordinates):
Pt 0.000 0.000 0.000
Pt 0.500 0.500 0.000
Te 0.500 0.000 0.500
Zn 0.000 0.500 0.500

=====

*ii*
An optimized crystal structure of ZnTePt2, computed with GGA-PBE.

Calculated values
Its density of states at the Fermi level is 2.5 states/eV/cell. As for the space group: No. 122.

a b c (Å): 4.190 4.190 9.178
angles (deg): 76.80 76.80 90.00
Atoms (fractional coordinates):
Zn 0.500 0.500 0.000
Zn 0.250 0.750 0.500
Te 0.000 0.000 0.000
Te 0.750 0.250 0.500
Pt 0.620 0.125 0.250
Pt 0.130 0.625 0.250
Pt 0.375 0.380 0.750
Pt 0.875 0.870 0.750

=====

The winner here is *ii*, beating the second structure by 0.025 eV/atom.